[1]
{"formula": "PmHO2", "functional": "GGA-PBE", "state": "optimized geometry", "final_energy_ev_per_cell": -56.695, "e_above_lowest_polymorph_mev_per_atom": 0, "lattice": [[-1.6588, -2.3409, -2.5133], [2.0377, 2.1143, -3.3143], [3.6591, -4.6693, 1.9340]], "species": ["Pm", "Pm", "H", "H", "O", "O", "O", "O"], "frac_coords": [[0.2500, 0.6666, 0.3100], [0.7500, 0.3334, 0.6900], [0.7500, 0.9758, 0.0707], [0.2500, 0.0242, 0.9293], [0.7500, 0.7628, 0.5440], [0.2500, 0.2372, 0.4560], [0.7500, 0.7518, 0.0605], [0.2500, 0.2482, 0.9395]]}

---

[2]
{"formula": "LiPm2PrTe4", "functional": "GGA-PBE", "state": "optimized geometry", "final_energy_ev_per_cell": -39.765, "formation_energy_uncorrected_mev_per_atom": -1375, "lattice": [[-0.5125, 0.8883, -4.3192], [4.3468, -6.1338, -1.7773], [-7.4065, -2.1628, 0.4341]], "species": ["Li", "Pm", "Pm", "Pr", "Te", "Te", "Te", "Te"], "frac_coords": [[0.5000, 0.5000, 0.0000], [0.5000, 0.0000, 0.5000], [0.0000, 0.5000, 0.5000], [0.0000, 0.0000, 0.0000], [0.5000, 0.2591, 0.2472], [0.5000, 0.7409, 0.7528], [0.0000, 0.2610, 0.7579], [0.0000, 0.7390, 0.2421]]}

---

[3]
{"formula": "LaH2F", "functional": "GGA-PBE", "state": "optimized geometry", "final_energy_ev_per_cell": -37.580, "e_above_lowest_polymorph_mev_per_atom": 421, "lattice": [[3.7732, 0.0000, 0.0000], [0.0000, 3.7732, 0.0000], [1.8866, 1.8866, 7.7332]], "species": ["H", "H", "H", "H", "F", "F", "La", "La"], "frac_coords": [[0.7161, 0.1250, 0.2500], [0.0339, 0.6250, 0.2500], [0.3750, 0.2839, 0.7500], [0.8750, 0.9661, 0.7500], [0.5000, 0.5000, 0.0000], [0.2500, 0.7500, 0.5000], [0.0000, 0.0000, 0.0000], [0.7500, 0.2500, 0.5000]]}

---

[4]
{"formula": "Pr4HfAs5", "functional": "GGA-PBE", "state": "optimized geometry", "final_energy_ev_per_cell": -65.616, "ef_ev_per_atom": -1.330, "lattice": [[-3.1465, 2.8110, -0.1468], [-2.8129, -3.1317, 0.3227], [3.3523, 1.3500, 14.7032]], "species": ["Pr", "Pr", "Pr", "Pr", "Hf", "As", "As", "As", "As", "As"], "frac_coords": [[0.4016, 0.4016, 0.8031], [0.8014, 0.8014, 0.6028], [0.1986, 0.1986, 0.3972], [0.5984, 0.5984, 0.1969], [0.0000, 0.0000, 0.0000], [0.0920, 0.0920, 0.1841], [0.5000, 0.5000, 0.0000], [0.9080, 0.9080, 0.8159], [0.3008, 0.3008, 0.6016], [0.6992, 0.6992, 0.3984]]}

---

[5]
{"formula": "CaTmPb6", "functional": "GGA-PBE", "state": "optimized geometry", "final_energy_ev_per_cell": -30.933, "ef_ev_per_atom": -0.276, "lattice": [[4.8948, 0.0000, 0.0000], [0.0000, 4.8948, 0.0000], [0.0000, 0.0000, 9.8102]], "species": ["Ca", "Tm", "Pb", "Pb", "Pb", "Pb", "Pb", "Pb"], "frac_coords": [[0.0000, 0.0000, 0.0000], [0.0000, 0.0000, 0.5000], [0.5000, 0.5000, 0.0000], [0.5000, 0.5000, 0.5000], [0.5000, 0.0000, 0.2535], [0.5000, 0.0000, 0.7465], [0.0000, 0.5000, 0.2535], [0.0000, 0.5000, 0.7465]]}

---

[6]
{"formula": "Sm6DyTm3Sc2", "functional": "GGA-PBE", "state": "optimized geometry", "final_energy_ev_per_cell": -58.572, "ef_ev_per_atom": 0.035, "lattice": [[-4.6671, -0.7961, 3.8884], [5.6079, -1.9526, 1.5081], [1.9223, 10.9978, 2.9546]], "species": ["Sm", "Sm", "Sm", "Sm", "Sm", "Sm", "Dy", "Tm", "Tm", "Tm", "Sc", "Sc"], "frac_coords": [[0.9174, 0.5812, 0.7539], [0.7465, 0.7465, 0.2462], [0.0826, 0.4188, 0.2461], [0.5812, 0.9174, 0.7539], [0.2535, 0.2535, 0.7538], [0.4188, 0.0826, 0.2461], [0.0000, 0.0000, 0.0000], [0.1668, 0.8332, 0.5000], [0.8332, 0.1668, 0.5000], [0.5000, 0.5000, 0.5000], [0.3333, 0.6667, 0.0000], [0.6667, 0.3333, 0.0000]]}

---

[7]
{"formula": "AcZn5Pd7", "functional": "GGA-PBE", "state": "optimized geometry", "final_energy_ev_per_cell": -53.871, "ef_ev_per_atom": -0.542, "lattice": [[-2.8864, -2.0858, 3.9682], [3.2312, -5.1419, 3.2296], [1.0972, 3.1304, 6.0255]], "species": ["Ac", "Zn", "Zn", "Zn", "Zn", "Zn", "Pd", "Pd", "Pd", "Pd", "Pd", "Pd", "Pd"], "frac_coords": [[0.9936, 0.0064, 0.0064], [0.4970, 0.0015, 0.4981], [0.0034, 0.0015, 0.4981], [0.4970, 0.4981, 0.0015], [0.0034, 0.4981, 0.0015], [0.7341, 0.7659, 0.7659], [0.6529, 0.3471, 0.3471], [0.3432, 0.6568, 0.6568], [0.9959, 0.3491, 0.6591], [0.9959, 0.6591, 0.3491], [0.2721, 0.2279, 0.2279], [0.5057, 0.7793, 0.2094], [0.5057, 0.2094, 0.7793]]}

---

no.,density of states at the Fermi level (states/eV per atom)
1,0.00
2,0.41
3,0.00
4,0.24
5,0.48
6,1.14
7,0.32